[1]
# MgAgPb2 | Alexandria via LeMat-Bulk | PBE-GGA | relaxed
# Formation energy: 52 meV/atom
data_MgAgPb2
_cell_length_a 10.917
_cell_length_b 10.917
_cell_length_c 10.917
_cell_angle_alpha 17.53
_cell_angle_beta 17.53
_cell_angle_gamma 17.53
_symmetry_space_group_name_H-M 'P 1'
_symmetry_Int_Tables_number 1
loop_
_symmetry_equiv_pos_as_xyz
'x,y,z'
loop_
_atom_site_label
_atom_site_type_symbol
_atom_site_fract_x
_atom_site_fract_y
_atom_site_fract_z
Mg1 Mg 0.000 0.000 0.000
Ag1 Ag 0.500 0.500 0.500
Pb1 Pb 0.245 0.245 0.245
Pb2 Pb 0.755 0.755 0.755

=====

[2]
# LiPuRh2 | Alexandria via LeMat-Bulk | PBE-GGA | relaxed
# Formation energy: -76 meV/atom
data_LiPuRh2
_cell_length_a 9.383
_cell_length_b 9.383
_cell_length_c 9.383
_cell_angle_alpha 17.49
_cell_angle_beta 17.49
_cell_angle_gamma 17.49
_symmetry_space_group_name_H-M 'P 1'
_symmetry_Int_Tables_number 1
loop_
_symmetry_equiv_pos_as_xyz
'x,y,z'
loop_
_atom_site_label
_atom_site_type_symbol
_atom_site_fract_x
_atom_site_fract_y
_atom_site_fract_z
Li1 Li 0.000 0.000 0.000
Pu1 Pu 0.500 0.500 0.500
Rh1 Rh 0.410 0.410 0.410
Rh2 Rh 0.590 0.590 0.590

=====

[3]
# Pu2As4Au | Alexandria via LeMat-Bulk | PBE-GGA | relaxed
# Formation energy: -623 meV/atom
data_Pu2As4Au
_cell_length_a 3.978
_cell_length_b 3.978
_cell_length_c 9.646
_cell_angle_alpha 90.00
_cell_angle_beta 90.00
_cell_angle_gamma 90.00
_symmetry_space_group_name_H-M 'P 1'
_symmetry_Int_Tables_number 1
loop_
_symmetry_equiv_pos_as_xyz
'x,y,z'
loop_
_atom_site_label
_atom_site_type_symbol
_atom_site_fract_x
_atom_site_fract_y
_atom_site_fract_z
Pu1 Pu 0.000 0.500 0.238
Pu2 Pu 0.500 0.000 0.762
As1 As 0.000 0.000 0.000
As2 As 0.000 0.500 0.681
As3 As 0.500 0.000 0.319
As4 As 0.500 0.500 0.000
Au1 Au 0.000 0.000 0.500

=====

[4]
# KFeCu | Alexandria via LeMat-Bulk | PBE-GGA | relaxed
# Formation energy: 937 meV/atom
# Excess energy over the best structure of this formula in the dataset: 257 meV per atom
data_KFeCu
_cell_length_a 2.931
_cell_length_b 2.931
_cell_length_c 7.586
_cell_angle_alpha 90.00
_cell_angle_beta 90.00
_cell_angle_gamma 120.00
_symmetry_space_group_name_H-M 'P 1'
_symmetry_Int_Tables_number 1
loop_
_symmetry_equiv_pos_as_xyz
'x,y,z'
loop_
_atom_site_label
_atom_site_type_symbol
_atom_site_fract_x
_atom_site_fract_y
_atom_site_fract_z
K1 K 0.000 0.000 0.000
Fe1 Fe 0.333 0.667 0.616
Cu1 Cu 0.667 0.333 0.371

=====

[5]
# LiHg3Bi | Alexandria via LeMat-Bulk | PBE-GGA | relaxed
# Formation energy: -117 meV/atom
# Excess energy over the best structure of this formula in the dataset: 14 meV per atom
data_LiHg3Bi
_cell_length_a 6.450
_cell_length_b 6.450
_cell_length_c 6.464
_cell_angle_alpha 96.90
_cell_angle_beta 96.90
_cell_angle_gamma 99.90
_symmetry_space_group_name_H-M 'P 1'
_symmetry_Int_Tables_number 1
loop_
_symmetry_equiv_pos_as_xyz
'x,y,z'
loop_
_atom_site_label
_atom_site_type_symbol
_atom_site_fract_x
_atom_site_fract_y
_atom_site_fract_z
Li1 Li 0.000 0.000 0.000
Li2 Li 0.000 0.000 0.500
Hg1 Hg 0.214 0.744 0.748
Hg2 Hg 0.256 0.786 0.252
Hg3 Hg 0.282 0.282 0.829
Hg4 Hg 0.718 0.718 0.171
Hg5 Hg 0.744 0.214 0.748
Hg6 Hg 0.786 0.256 0.252
Bi1 Bi 0.319 0.319 0.328
Bi2 Bi 0.681 0.681 0.672

=====

[6]
# CaPrEr2Te4 | Alexandria via LeMat-Bulk | PBE-GGA | relaxed
# Final energy: -4.9307 eV/atom
data_CaPrEr2Te4
_cell_length_a 7.650
_cell_length_b 4.379
_cell_length_c 7.688
_cell_angle_alpha 90.00
_cell_angle_beta 108.94
_cell_angle_gamma 90.00
_symmetry_space_group_name_H-M 'P 1'
_symmetry_Int_Tables_number 1
loop_
_symmetry_equiv_pos_as_xyz
'x,y,z'
loop_
_atom_site_label
_atom_site_type_symbol
_atom_site_fract_x
_atom_site_fract_y
_atom_site_fract_z
Ca1 Ca 0.000 0.000 0.000
Pr1 Pr 0.000 0.500 0.500
Er1 Er 0.500 0.000 0.500
Er2 Er 0.500 0.500 0.000
Te1 Te 0.261 0.500 0.250
Te2 Te 0.264 0.000 0.759
Te3 Te 0.736 0.000 0.241
Te4 Te 0.739 0.500 0.750

=====

[7]
# GaSN3 | Alexandria via LeMat-Bulk | PBE-GGA | relaxed
# Final energy: -4.2570 eV/atom
data_GaSN3
_cell_length_a 3.934
_cell_length_b 3.934
_cell_length_c 3.934
_cell_angle_alpha 90.00
_cell_angle_beta 90.00
_cell_angle_gamma 90.00
_symmetry_space_group_name_H-M 'P 1'
_symmetry_Int_Tables_number 1
loop_
_symmetry_equiv_pos_as_xyz
'x,y,z'
loop_
_atom_site_label
_atom_site_type_symbol
_atom_site_fract_x
_atom_site_fract_y
_atom_site_fract_z
Ga1 Ga 0.000 0.000 0.000
S1 S 0.500 0.500 0.500
N1 N 0.000 0.000 0.500
N2 N 0.000 0.500 0.000
N3 N 0.500 0.000 0.000

=====

[8]
# ZrAgMo | Alexandria via LeMat-Bulk | PBE-GGA | relaxed
# Formation energy: 319 meV/atom
# Excess energy over the best structure of this formula in the dataset: 363 meV per atom
data_ZrAgMo
_cell_length_a 5.422
_cell_length_b 5.422
_cell_length_c 5.422
_cell_angle_alpha 147.71
_cell_angle_beta 138.19
_cell_angle_gamma 53.79
_symmetry_space_group_name_H-M 'P 1'
_symmetry_Int_Tables_number 1
loop_
_symmetry_equiv_pos_as_xyz
'x,y,z'
loop_
_atom_site_label
_atom_site_type_symbol
_atom_site_fract_x
_atom_site_fract_y
_atom_site_fract_z
Zr1 Zr 0.000 0.000 0.000
Ag1 Ag 0.679 0.679 0.000
Mo1 Mo 0.340 0.340 0.000

=====

[9]
# Be2InBr | Alexandria via LeMat-Bulk | PBE-GGA | relaxed
# Excess energy over the best structure of this formula in the dataset: 521 meV per atom
data_Be2InBr
_cell_length_a 6.816
_cell_length_b 6.816
_cell_length_c 6.816
_cell_angle_alpha 149.51
_cell_angle_beta 149.51
_cell_angle_gamma 43.66
_symmetry_space_group_name_H-M 'P 1'
_symmetry_Int_Tables_number 1
loop_
_symmetry_equiv_pos_as_xyz
'x,y,z'
loop_
_atom_site_label
_atom_site_type_symbol
_atom_site_fract_x
_atom_site_fract_y
_atom_site_fract_z
Be1 Be 0.000 0.000 0.000
Be2 Be 0.750 0.250 0.500
In1 In 0.500 0.500 0.000
Br1 Br 0.250 0.750 0.500